# 1
Compound: Ca3Fe
Source: Alexandria via LeMat-Bulk
Functional: meta-GGA SCAN
Structure: PBEsol geometry

```
4
Lattice="-1.7907 5.9118 2.8290 1.7907 -5.9118 2.8290 1.7907 5.9118 -2.8290" Properties=species:S:1:pos:R:3 pbc="T T T"
Ca 0.0000 0.0000 0.0002
Ca 1.7907 3.6577 0.0000
Ca 0.0000 2.2541 2.8290
Fe 0.0000 5.9118 0.0060
```

Output
ΔE_f: 0.352 eV/atom
Crystal system: orthorhombic
Size of the total moment: 2.4 μB/cell
Total energy: -45.7 eV per formula unit

---

# 2
Compound: CaFe3
Source: Alexandria via LeMat-Bulk
Functional: meta-GGA SCAN
Structure: PBEsol geometry

```
4
Lattice="2.5709 0.0000 0.0000 -1.2855 2.2265 0.0000 0.0000 0.0000 8.6542" Properties=species:S:1:pos:R:3 pbc="T T T"
Ca 0.0000 0.0000 0.0000
Fe 0.0000 0.0000 4.3271
Fe 0.0000 1.4843 2.5130
Fe 0.0000 1.4843 6.1412
```

Output
ΔE_f: 1.057 eV/atom
Crystal system: hexagonal
Size of the total moment: 2.9 μB/cell
Total energy: -59.8 eV per formula unit

---

# 3
Compound: CaFe3
Source: Alexandria via LeMat-Bulk
Functional: meta-GGA SCAN
Structure: PBEsol geometry

```
4
Lattice="2.7683 0.0000 0.0000 0.0000 4.0224 0.0000 0.0000 0.0000 5.6975" Properties=species:S:1:pos:R:3 pbc="T T T"
Ca 0.0000 0.0000 0.0000
Fe 0.0000 2.0112 2.1470
Fe 1.3841 0.0000 2.7706
Fe 1.3841 2.0112 4.0040
```

Output
ΔE_f: 0.449 eV/atom
Crystal system: orthorhombic
Size of the total moment: 8.0 μB/cell
Total energy: -62.3 eV per formula unit

---

# 4
Compound: Ca2FeH2
Source: Alexandria via LeMat-Bulk
Functional: meta-GGA SCAN
Structure: PBEsol geometry

```
5
Lattice="-1.7828 1.7828 6.5407 1.7828 -1.7828 6.5407 1.7828 1.7828 -6.5407" Properties=species:S:1:pos:R:3 pbc="T T T"
Ca 0.0000 0.0000 1.9432
Ca 0.0000 0.0000 11.1382
Fe 0.0000 0.0000 6.5407
H 1.7828 0.0000 3.2703
H 0.0000 1.7828 3.2703
```

Output
Crystal system: tetragonal
Size of the total moment: 2.6 μB/cell
Total energy: -44.5 eV per formula unit

---

# 5
Compound: RbCa2FeH
Source: Alexandria via LeMat-Bulk
Functional: meta-GGA SCAN
Structure: PBEsol geometry

```
5
Lattice="5.2714 0.0000 0.0000 0.0000 5.2714 0.0000 0.0000 0.0000 6.1958" Properties=species:S:1:pos:R:3 pbc="T T T"
Rb 0.0000 0.0000 0.0000
Ca 0.0000 2.6357 3.0979
Ca 2.6357 0.0000 3.0979
Fe 0.0000 0.0000 3.0979
H 2.6357 2.6357 0.0000
```

Output
Crystal system: tetragonal
Size of the total moment: 2.0 μB/cell
Total energy: -57.6 eV per formula unit

---

# 6
Compound: CaScFeH2
Source: Alexandria via LeMat-Bulk
Functional: meta-GGA SCAN
Structure: PBEsol geometry

```
5
Lattice="3.8460 0.0000 0.0000 0.0000 3.8460 0.0000 0.0000 0.0000 7.2071" Properties=species:S:1:pos:R:3 pbc="T T T"
Ca 0.0000 0.0000 0.0000
Sc 0.0000 0.0000 3.6035
Fe 1.9230 1.9230 3.6035
H 0.0000 1.9230 0.0000
H 1.9230 0.0000 0.0000
```

Output
Crystal system: tetragonal
Size of the total moment: 1.5 μB/cell
Total energy: -45.6 eV per formula unit

---

# 7
Compound: Ca3HfFe
Source: Alexandria via LeMat-Bulk
Functional: meta-GGA SCAN
Structure: PBEsol geometry

```
5
Lattice="5.5910 0.0000 0.0000 0.0000 5.5910 0.0000 0.0000 0.0000 5.5910" Properties=species:S:1:pos:R:3 pbc="T T T"
Ca 0.0000 0.0000 2.7955
Ca 0.0000 2.7955 0.0000
Ca 2.7955 0.0000 0.0000
Hf 0.0000 0.0000 0.0000
Fe 2.7955 2.7955 2.7955
```

Output
ΔE_f: 1.528 eV/atom
Crystal system: cubic
Size of the total moment: 4.9 μB/cell
Total energy: -102.2 eV per formula unit

---

# 8
Compound: Ca2HfScFe
Source: Alexandria via LeMat-Bulk
Functional: meta-GGA SCAN
Structure: PBEsol geometry

```
5
Lattice="5.3318 0.0000 0.0000 0.0000 5.3318 0.0000 0.0000 0.0000 4.9785" Properties=species:S:1:pos:R:3 pbc="T T T"
Ca 0.0000 2.6659 0.0000
Ca 2.6659 0.0000 0.0000
Hf 0.0000 0.0000 2.4893
Sc 0.0000 0.0000 0.0000
Fe 2.6659 2.6659 2.4893
```

Output
ΔE_f: 1.433 eV/atom
Crystal system: tetragonal
Size of the total moment: 3.3 μB/cell
Total energy: -107.2 eV per formula unit

---

# 9
Compound: Ca4FeHg
Source: Alexandria via LeMat-Bulk
Functional: meta-GGA SCAN
Structure: PBEsol geometry

```
6
Lattice="0.0000 4.4542 4.4542 4.4542 0.0000 4.4542 4.4542 4.4542 0.0000" Properties=species:S:1:pos:R:3 pbc="T T T"
Ca 3.3461 3.3461 3.3461
Ca 5.5622 5.5622 3.3461
Ca 5.5622 3.3461 5.5622
Ca 3.3461 5.5622 5.5622
Fe 6.6812 6.6812 6.6812
Hg 0.0000 0.0000 0.0000
```

Output
ΔE_f: 0.679 eV/atom
Crystal system: cubic
Size of the total moment: 2.1 μB/cell
Total energy: -120.9 eV per formula unit

---

# 10
Compound: CaFeHg2
Source: Alexandria via LeMat-Bulk
Functional: meta-GGA SCAN
Structure: PBEsol geometry

```
4
Lattice="1.6778 0.9687 8.9381 -1.6778 0.9687 8.9381 0.0000 -1.9373 8.9381" Properties=species:S:1:pos:R:3 pbc="T T T"
Ca 0.0000 0.0000 0.0000
Fe 0.0000 0.0000 20.1362
Hg 0.0000 0.0000 6.4832
Hg 0.0000 0.0000 13.0715
```

Output
ΔE_f: 0.252 eV/atom
Crystal system: trigonal
Size of the total moment: 2.8 μB/cell
Total energy: -163.1 eV per formula unit

---

# 11
Compound: CaFeHg3
Source: Alexandria via LeMat-Bulk
Functional: meta-GGA SCAN
Structure: PBEsol geometry

```
5
Lattice="5.5765 0.0000 0.0000 0.0000 5.5765 0.0000 0.0000 0.0000 5.5765" Properties=species:S:1:pos:R:3 pbc="T T T"
Ca 0.0000 0.0000 0.0000
Fe 2.7882 2.7882 2.7882
Hg 0.0000 0.0000 2.7882
Hg 0.0000 2.7882 0.0000
Hg 2.7882 0.0000 0.0000
```

Output
ΔE_f: 0.895 eV/atom
Crystal system: cubic
Size of the total moment: 3.1 μB/cell
Total energy: -227.8 eV per formula unit

---

# 12
Compound: CaFeIN2
Source: Alexandria via LeMat-Bulk
Functional: meta-GGA SCAN
Structure: PBEsol geometry

```
5
Lattice="4.3598 0.0000 0.0000 0.0000 4.3598 0.0000 0.0000 0.0000 6.0268" Properties=species:S:1:pos:R:3 pbc="T T T"
Ca 0.0000 0.0000 0.0000
Fe 2.1799 2.1799 3.0134
I 0.0000 0.0000 3.0134
N 0.0000 2.1799 0.0000
N 2.1799 0.0000 0.0000
```

Output
Formation energy without anion corrections: 6.8 eV/f.u.
Crystal system: tetragonal
Size of the total moment: 7.3 μB/cell
Total energy: -76.3 eV per formula unit